(1)
# PBE Y6SiP2Se3, relaxed
data_Y6SiP2Se3
_chemical_formula_sum 'Y12 Si2 P4 Se6'
_symmetry_space_group_name_H-M 'C 1 2/m 1'
_symmetry_Int_Tables_number 12
_cell_length_a 17.8513
_cell_length_b 4.0615
_cell_length_c 8.1983
_cell_angle_alpha 90.00
_cell_angle_beta 104.08
_cell_angle_gamma 90.00
loop_
_symmetry_equiv_pos_as_xyz
'x,y,z'
'-x,-y,-z'
'-x,y,-z'
'x,-y,z'
'x+1/2,y+1/2,z'
'-x+1/2,-y+1/2,-z'
'-x+1/2,y+1/2,-z'
'x+1/2,-y+1/2,z'
loop_
_atom_site_label
_atom_site_fract_x
_atom_site_fract_y
_atom_site_fract_z
_atom_site_occupancy
Y1 0.0040 0.0000 0.2413 1
Y2 0.1626 0.5000 0.0946 1
Y3 0.1715 0.5000 0.5718 1
Si1 0.0000 0.5000 0.0000 1
P1 0.1674 0.0000 0.3349 1
Se1 0.0000 0.5000 0.5000 1
Se2 0.1675 0.0000 0.8322 1
# crystal system	monoclinic

(2)
# PBE Y6Si2PSe3, relaxed
data_Y6Si2PSe3
_chemical_formula_sum 'Y12 Si4 P2 Se6'
_symmetry_space_group_name_H-M 'C 1 2/m 1'
_symmetry_Int_Tables_number 12
_cell_length_a 17.9287
_cell_length_b 4.0890
_cell_length_c 8.2447
_cell_angle_alpha 90.00
_cell_angle_beta 103.81
_cell_angle_gamma 90.00
loop_
_symmetry_equiv_pos_as_xyz
'x,y,z'
'-x,-y,-z'
'-x,y,-z'
'x,-y,z'
'x+1/2,y+1/2,z'
'-x+1/2,-y+1/2,-z'
'-x+1/2,y+1/2,-z'
'x+1/2,-y+1/2,z'
loop_
_atom_site_label
_atom_site_fract_x
_atom_site_fract_y
_atom_site_fract_z
_atom_site_occupancy
Y1 0.0045 0.0000 0.2392 1
Y2 0.1625 0.5000 0.0921 1
Y3 0.1693 0.5000 0.5752 1
Si1 0.1664 0.0000 0.3324 1
P1 0.0000 0.5000 0.0000 1
Se1 0.0000 0.5000 0.5000 1
Se2 0.1656 0.0000 0.8343 1
# crystal system	monoclinic

Formation energy (no corrections) in kcal/mol of atoms, matching the order above: -38.03, -34.52
Fermi-level density of states in states/eV per atom, matching the order above: 0.315, 0.184